LiCrP2, optimized geometry, DFT PBE; SG = Cm (8); E above lowest polymorph = 172 meV per atom; calculated formation energy = -0.21 eV/atom
1.0
4.294 -1.523 0.000
4.294 1.523 0.000
-0.589 0.000 3.898
Li Cr P
1 1 2
Direct
0.000 0.000 0.000
0.261 0.261 0.465
0.551 0.551 0.529
0.731 0.731 0.989